{
  "formula": "DySi4Rh6",
  "functional": "PBE-GGA",
  "state": "relaxed",
  "dos_at_fermi_per_ev_cell": 3.86,
  "vol_a3_per_atom": 14.7,
  "formation_energy_uncorrected_mev_per_atom": -1000.9,
  "magnetic_moment_mub_per_cell": 0.000,
  "sg": "P-6m2",
  "lattice": [[7.0303, 0.0000, 0.0000], [-3.5151, 6.0884, 0.0000], [0.0000, 0.0000, 3.7751]],
  "species": ["Dy", "Si", "Si", "Si", "Si", "Rh", "Rh", "Rh", "Rh", "Rh", "Rh"],
  "fractional_positions": [[0.0000, 0.0000, 0.0000], [0.3333, 0.6667, 0.0000], [0.3994, 0.1997, 0.5000], [0.8003, 0.1997, 0.5000], [0.8003, 0.6006, 0.5000], [0.1978, 0.3955, 0.5000], [0.1978, 0.8022, 0.5000], [0.5330, 0.0661, 0.0000], [0.5330, 0.4670, 0.0000], [0.6045, 0.8022, 0.5000], [0.9339, 0.4670, 0.0000]]
}